Entry 1:
A relaxed BaHg3Pb3 crystal, computed with PBE-GGA.

Calculated values
Excess energy over the best structure of this formula in the dataset   180 meV/atom
Formation enthalpy at 0 K   0.024 eV/atom

```
data_BaHg3Pb3
_symmetry_space_group_name_H-M 'P m -3 n'
_symmetry_Int_Tables_number 223
_symmetry_space_group_name_Hall '-P 4n 2 3'
_cell_length_a 8.215
_cell_length_b 8.215
_cell_length_c 8.215
_cell_angle_alpha 90.00
_cell_angle_beta 90.00
_cell_angle_gamma 90.00
loop_
_atom_site_label
_atom_site_type_symbol
_atom_site_fract_x
_atom_site_fract_y
_atom_site_fract_z
Ba1 Ba 0.000 0.000 0.000
Hg1 Hg 0.000 0.250 0.500
Pb1 Pb 0.000 0.500 0.250
```

=====

Entry 2:
A relaxed Pr12Sn6Ir crystal, computed with PBE-GGA.

Calculated values
Formation enthalpy at 0 K   -0.447 eV/atom

```
data_Pr12Sn6Ir
_symmetry_space_group_name_H-M 'R -3'
_symmetry_Int_Tables_number 148
_symmetry_space_group_name_Hall '-R 3'
_cell_length_a 13.6665
_cell_length_b 13.6665
_cell_length_c 12.8084
_cell_angle_alpha 90.00
_cell_angle_beta 90.00
_cell_angle_gamma 120.00
loop_
_atom_site_label
_atom_site_type_symbol
_atom_site_fract_x
_atom_site_fract_y
_atom_site_fract_z
Pr1 Pr 0.0334 0.8302 0.3959
Pr2 Pr 0.0625 0.8641 0.8813
Sn1 Sn 0.0488 0.7668 0.6433
Ir1 Ir 0.0000 0.0000 0.0000
```